[1]
First-principles (PBE-GGA) data for crystalline HfZr8Sb2 at its relaxed geometry, as listed in the Alexandria database.

a = 5.4025 Å, b = 7.7697 Å, c = 7.7697 Å
α = 118.71°, β = 102.10°, γ = 102.10°
With the nearest neighbours (Å) after each atom.
Element x y z (fractional)
Hf 0.5000 0.0000 0.0000  4 Zr 2.87-2.93
Zr 0.5000 0.2192 0.7808  2 Sb 2.93, 1 Hf 2.93
Zr 0.3119 0.6039 0.6039  1 Hf 2.87, 2 Sb 3.04, 4 Zr 3.08-3.12
Zr 0.5000 0.7808 0.2192  2 Sb 2.93, 1 Hf 2.93
Sb 0.0000 0.6960 0.3040  8 Zr 2.93-3.04
Sb 0.0000 0.3040 0.6960  8 Zr 2.93-3.04
Zr 0.1328 0.3139 0.0937  5 Zr 2.94-3.29, 2 Sb 2.95-2.98
Zr 0.8672 0.6861 0.9063  5 Zr 2.94-3.29, 2 Sb 2.95-2.98
Zr 0.6881 0.3961 0.3961  1 Hf 2.87, 2 Sb 3.04, 4 Zr 3.08-3.12
Zr 0.1328 0.0937 0.3139  5 Zr 2.94-3.29, 2 Sb 2.95-2.98
Zr 0.8672 0.9063 0.6861  5 Zr 2.94-3.29, 2 Sb 2.95-2.98

Properties
total magnetization: 0.000 μB per cell
E: -8.02 eV per atom
energy relative to the elements, uncorrected: -162.8 kJ/mol of formula units

[2]
First-principles (PBE-GGA) data for crystalline SmDyTh2Sb5 at its relaxed geometry, as listed in the Alexandria database.

a = 5.3240 Å, b = 5.3240 Å, c = 11.5100 Å
α = 90.00°, β = 90.00°, γ = 90.00°
With the nearest neighbours (Å) after each atom.
Element x y z (fractional)
Sb 0.0000 0.0000 0.7540  1 Dy 2.83, 1 Sm 2.92
Th 0.5000 0.5000 0.6990  9 Sb 3.47-3.82
Sb 0.0000 0.0000 0.2460  1 Dy 2.83, 1 Sm 2.92
Th 0.5000 0.5000 0.3010  9 Sb 3.47-3.82
Sb 0.0000 0.5000 0.5000  2 Sm 2.66
Dy 0.0000 0.0000 0.0000  2 Sb 2.83
Sm 0.0000 0.0000 0.5000  6 Sb 2.66-2.92
Sb 0.5000 0.5000 0.0000  2 Th 3.47, 4 Dy 3.76
Sb 0.5000 0.0000 0.5000  2 Sm 2.66

Properties
total magnetization: 0.000 μB per cell
E: -5.08 eV per atom
energy relative to the elements, uncorrected: -89.0 kJ/mol of formula units

[3]
First-principles (PBE-GGA) data for crystalline KPS2F at its relaxed geometry, as listed in the Alexandria database.

a = 6.1667 Å, b = 6.1667 Å, c = 6.6526 Å
α = 90.00°, β = 90.00°, γ = 90.00°
With the nearest neighbours (Å) after each atom.
Element x y z (fractional)
S 0.5000 0.0000 0.0000  2 K 3.08
F 0.5000 0.5000 0.5000  4 P 4.36, 8 S 4.54
K 0.0000 0.0000 0.0000  4 S 3.08, 2 P 3.33
P 0.0000 0.0000 0.5000  2 K 3.33
S 0.0000 0.5000 0.0000  2 K 3.08

Properties
total magnetization: 1.000 μB per cell
E: -2.15 eV per atom
energy relative to the elements, uncorrected: 569.1 kJ/mol of formula units

[4]
First-principles (PBE-GGA) data for crystalline Pm3HoPb2 at its relaxed geometry, as listed in the Alexandria database.

a = 4.9737 Å, b = 8.9807 Å, c = 9.6400 Å
α = 117.76°, β = 104.95°, γ = 90.00°
With the nearest neighbours (Å) after each atom.
Element x y z (fractional)
Ho 0.0000 0.0000 0.0000  8 Pm 3.35-3.65, 4 Pb 3.48
Pb 0.6494 0.1494 0.2988  8 Pm 3.31-3.63, 2 Ho 3.48
Pm 0.1760 0.9260 0.3520  6 Pb 3.38-3.63, 2 Pm 3.47, 2 Ho 3.65
Pb 0.3506 0.3506 0.7012  8 Pm 3.31-3.63, 2 Ho 3.48
Pm 0.8240 0.5740 0.6480  6 Pb 3.38-3.63, 2 Pm 3.47, 2 Ho 3.65
Pm 0.1760 0.4260 0.3520  6 Pb 3.38-3.63, 2 Pm 3.47, 2 Ho 3.65
Ho 0.0000 0.5000 0.0000  8 Pm 3.35-3.65, 4 Pb 3.48
Pb 0.6494 0.6494 0.2988  8 Pm 3.31-3.63, 2 Ho 3.48
Pm 0.5000 0.7500 0.0000  4 Pb 3.31, 4 Ho 3.35
Pm 0.5000 0.2500 0.0000  4 Pb 3.31, 4 Ho 3.35
Pb 0.3506 0.8506 0.7012  8 Pm 3.31-3.63, 2 Ho 3.48
Pm 0.8240 0.0740 0.6480  6 Pb 3.38-3.63, 2 Pm 3.47, 2 Ho 3.65

Properties
total magnetization: 0.008 μB per cell
E_form: -393 meV/atom
E: -4.77 eV per atom

[5]
First-principles (PBE-GGA) data for crystalline TbRuO4 at its relaxed geometry, as listed in the Alexandria database.

a = 5.3100 Å, b = 7.5809 Å, c = 7.4439 Å
α = 99.62°, β = 90.00°, γ = 90.00°
With the nearest neighbours (Å) after each atom.
Element x y z (fractional)
O 0.1357 0.1660 0.0551  2 Ru 1.95-1.97
O 0.5139 0.6134 0.6724  1 Ru 2.06, 2 Tb 2.24-2.27
O 0.8643 0.8340 0.9449  2 Ru 1.95-1.97
O 0.4861 0.3866 0.3276  1 Ru 2.06, 2 Tb 2.24-2.27
O 0.3643 0.1660 0.5551  2 Ru 1.95-1.97
O 0.5987 0.0624 0.1921  2 Ru 1.91-2.01
Ru 0.2304 0.1580 0.8009  6 O 1.91-2.06
Ru 0.7696 0.8420 0.1991  6 O 1.91-2.06
O 0.0987 0.9376 0.3079  2 Ru 1.91-2.01
O 0.4971 0.6794 0.1251  1 Ru 1.92
O 0.5029 0.3206 0.8749  1 Ru 1.92
O 0.9861 0.6134 0.1724  1 Ru 2.06, 2 Tb 2.24-2.27
O 0.0029 0.6794 0.6251  1 Ru 1.92
O 0.4013 0.9376 0.8079  2 Ru 1.91-2.01
Tb 0.7166 0.3521 0.6047  6 O 2.24-2.45
Tb 0.2166 0.6479 0.8953  6 O 2.24-2.45
O 0.6357 0.8340 0.4449  2 Ru 1.95-1.97
Tb 0.7834 0.3521 0.1047  6 O 2.24-2.45
O 0.0139 0.3866 0.8276  1 Ru 2.06, 2 Tb 2.24-2.27
O 0.9013 0.0624 0.6921  2 Ru 1.91-2.01
Ru 0.2696 0.1580 0.3009  6 O 1.91-2.06
Tb 0.2834 0.6479 0.3953  6 O 2.24-2.45
O 0.9971 0.3206 0.3749  1 Ru 1.92
Ru 0.7304 0.8420 0.6991  6 O 1.91-2.06

Properties
total magnetization: 0.000 μB per cell
E: -7.63 eV per atom
energy relative to the elements, uncorrected: -1162.6 kJ/mol of formula units

[6]
First-principles (PBE-GGA) data for crystalline Sc2MnSe at its relaxed geometry, as listed in the Alexandria database.

a = 3.3792 Å, b = 3.3789 Å, c = 6.4323 Å
α = 90.00°, β = 90.00°, γ = 90.00°
With the nearest neighbours (Å) after each atom.
Element x y z (fractional)
Sc 0.0000 0.0000 0.9949  4 Mn 2.86, 4 Se 2.90, 1 Sc 3.15
Sc 0.0000 0.0000 0.5051  4 Mn 2.86, 4 Se 2.90, 1 Sc 3.15
Mn 0.5000 0.5000 0.7500  8 Sc 2.86
Se 0.5000 0.5000 0.2500  8 Sc 2.90, 2 Mn 3.22

Properties
total magnetization: 1.636 μB per cell
E: -6.94 eV per atom
energy relative to the elements, uncorrected: -236.7 kJ/mol of formula units